RbNb | GGA-PBE | relaxed

Cell: 6.380 6.380 7.372 Å, 90.00 90.00 120.00°
Atoms (fractional coordinates):
Nb: 0.667 0.333 0.250
Nb: 0.333 0.667 0.750
Rb: 0.667 0.333 0.750
Rb: 0.333 0.667 0.250

Calculated values
- offset from the most stable computed form (meV/atom) = 2055
- DFT formation energy (eV/f.u.) = 5.5
- mass density (g/cm3) = 2.3
- spin magnetization (μB per formula unit) = 5.06

***

RbNb | GGA-PBE | relaxed

Cell: 13.390 13.390 4.966 Å, 90.00 90.00 90.00°
Atoms (fractional coordinates):
Nb: 0.635 0.537 0.500
Nb: 0.431 0.378 0.000
Nb: 0.365 0.463 0.500
Nb: 0.378 0.569 0.000
Nb: 0.622 0.431 0.000
Nb: 0.569 0.622 0.000
Nb: 0.537 0.365 0.500
Nb: 0.463 0.635 0.500
Rb: 0.604 0.136 0.000
Rb: 0.136 0.396 0.000
Rb: 0.396 0.864 0.000
Rb: 0.167 0.693 0.500
Rb: 0.693 0.833 0.500
Rb: 0.833 0.307 0.500
Rb: 0.307 0.167 0.500
Rb: 0.864 0.604 0.000

Calculated values
- offset from the most stable computed form (meV/atom) = 0
- DFT formation energy (eV/f.u.) = 1.4
- mass density (g/cm3) = 2.7
- spin magnetization (μB per formula unit) = 0.00

***

RbNb | GGA-PBE | relaxed

Cell: 7.946 11.688 5.139 Å, 90.00 90.00 90.00°
Atoms (fractional coordinates):
Nb: 0.667 0.994 0.447
Nb: 0.000 0.011 0.453
Nb: 0.833 0.006 0.947
Nb: 0.333 0.994 0.447
Nb: 0.167 0.006 0.947
Nb: 0.500 0.989 0.953
Rb: 0.794 0.313 0.218
Rb: 0.000 0.726 0.219
Rb: 0.500 0.274 0.719
Rb: 0.706 0.687 0.718
Rb: 0.206 0.313 0.218
Rb: 0.294 0.687 0.718

Calculated values
- offset from the most stable computed form (meV/atom) = 155
- DFT formation energy (eV/f.u.) = 1.7
- mass density (g/cm3) = 3.7
- spin magnetization (μB per formula unit) = 0.00

***

RbNb | GGA-PBE | relaxed

Cell: 10.379 10.379 10.379 Å, 90.00 90.00 90.00°
Atoms (fractional coordinates):
Nb: 0.750 0.500 0.000
Nb: 0.250 0.500 0.000
Nb: 0.000 0.250 0.500
Nb: 0.500 0.000 0.250
Nb: 0.500 0.000 0.750
Nb: 0.000 0.750 0.500
Rb: 0.000 0.500 0.750
Rb: 0.500 0.250 0.000
Rb: 0.000 0.500 0.250
Rb: 0.250 0.000 0.500
Rb: 0.500 0.750 0.000
Rb: 0.750 0.000 0.500

Calculated values
- offset from the most stable computed form (meV/atom) = 2184
- DFT formation energy (eV/f.u.) = 5.8
- mass density (g/cm3) = 1.6
- spin magnetization (μB per formula unit) = 5.01

***

Result set for electronic total energy: -2.763; -4.818; -4.663; -2.634 eV/atom, one per record in the order listed.